Density functional theory data (GGA-PBE) for an optimized crystal structure of Mg2MnI.

Computed properties:
symmetry: I-42d
energy: -3.131 eV/atom
uncorrected formation energy: 0.35 eV per atom

abc: 8.107 8.107 6.591
angles: 52.05 52.05 90.00
Site moments in Bohr magnetons follow the coordinates.
Atoms (fractional coordinates):
I1 0.000 0.000 0.000  0.03
I2 0.750 0.250 0.500  0.03
Mg1 0.611 0.125 0.250  -0.02
Mg2 0.139 0.625 0.250  -0.02
Mg3 0.375 0.389 0.750  -0.03
Mg4 0.875 0.861 0.750  -0.02
Mn1 0.500 0.500 0.000  4.07
Mn2 0.250 0.750 0.500  4.07